{
  "formula": "KAg",
  "functional": "meta-GGA SCAN",
  "state": "single point on PBEsol structure",
  "cell": [[5.7542, 0.0000, 0.0000], [0.0000, 11.0776, 0.0000], [0.0000, 0.0000, 11.9604]],
  "species": ["Ag", "Ag", "Ag", "Ag", "Ag", "Ag", "Ag", "Ag", "Ag", "Ag", "Ag", "Ag", "K", "K", "K", "K", "K", "K", "K", "K", "K", "K", "K", "K"],
  "frac_coords": [[0.7500, 0.8053, 0.1354], [0.2500, 0.1947, 0.8646], [0.7500, 0.3053, 0.8646], [0.2500, 0.6947, 0.1354], [0.7500, 0.4796, 0.4625], [0.2500, 0.5204, 0.5375], [0.7500, 0.9796, 0.5375], [0.2500, 0.0204, 0.4625], [0.0000, 0.2500, 0.0553], [0.5000, 0.7500, 0.9447], [0.0000, 0.7500, 0.9447], [0.5000, 0.2500, 0.0553], [0.7500, 0.5178, 0.1108], [0.2500, 0.4822, 0.8892], [0.7500, 0.0178, 0.8892], [0.2500, 0.9822, 0.1108], [0.7500, 0.1138, 0.2921], [0.2500, 0.8862, 0.7079], [0.7500, 0.6138, 0.7079], [0.2500, 0.3862, 0.2921], [0.0000, 0.2500, 0.6120], [0.5000, 0.7500, 0.3880], [0.0000, 0.7500, 0.3880], [0.5000, 0.2500, 0.6120]],
  "dos_ef_per_ev_cell": 6.28,
  "m_tot_mub_per_atom": 0.000,
  "ef_ev_per_atom": 0.11
}